--- 1 ---
Compound: BNCl2
Source: the Alexandria database
Functional: PBE-GGA
Structure: relaxed

The value obtained for the density of states at the Fermi level is 9.9 states/eV per cell.

The structure belongs to space group Fm-3m (No. 225); the cell edges are 6.3106, 6.3106 and 6.3106 Å and the angles 90.00°, 90.00° and 90.00°. The distinct sites, in fractional coordinates, are B at (0.0000, 0.0000, 0.0000), N at (0.0000, 0.0000, 0.5000) and Cl at (0.2500, 0.2500, 0.2500).


--- 2 ---
Compound: BNCl2
Source: the Alexandria database
Functional: PBE-GGA
Structure: relaxed

The value obtained for the density of states at the Fermi level is 6.1 states/eV per cell.

The structure belongs to space group R-3m (No. 166, hexagonal axes); the cell edges are 3.6226, 3.6226 and 22.8395 Å and the angles 90.00°, 90.00° and 120.00°. The distinct sites, in fractional coordinates, are B at (0.0000, 0.0000, 0.0000), N at (0.0000, 0.0000, 0.5000) and Cl at (0.0000, 0.0000, 0.0725).


Out of the structures above, which one is the least stable? Solution: 1.